# PBE-GGA CaPtO2F, relaxed
# E_form (uncorrected): -39.1 kJ per mole of atoms
# magnetization: 0.0 μB per cell
# E_tot: -21.9 eV for the cell shown
# DOS at the Fermi energy: 8.2 states/eV per cell
data_CaPtO2F
_chemical_formula_sum 'Ca1 Pt1 O2 F1'
_symmetry_space_group_name_H-M 'P 1'
_symmetry_Int_Tables_number 1
_cell_length_a 4.4164
_cell_length_b 4.4164
_cell_length_c 4.0803
_cell_angle_alpha 90.00
_cell_angle_beta 90.00
_cell_angle_gamma 90.00
loop_
_symmetry_equiv_pos_as_xyz
'x,y,z'
loop_
_atom_site_label
_atom_site_type_symbol
_atom_site_fract_x
_atom_site_fract_y
_atom_site_fract_z
Ca1 Ca 0.0000 0.0000 0.0000
Pt1 Pt 0.5000 0.5000 0.5000
O1 O 0.0000 0.5000 0.0000
O2 O 0.5000 0.0000 0.0000
F1 F 0.0000 0.0000 0.5000